KVAu2, relaxed, DFT GGA-PBE; calculated formation energy = 158 kJ/mol of formula units
1.0
0.0000 3.5395 3.5395
3.5395 0.0000 3.5395
3.5395 3.5395 0.0000
K V Au
1 1 2
Cartesian
0.0000 0.0000 0.0000
3.5395 3.5395 3.5395
1.7698 1.7698 1.7698
5.3093 5.3093 5.3093

KYVAu2, relaxed, DFT GGA-PBE; calculated formation energy = 522 kJ/mol of formula units
1.0
5.3389 0.0000 0.0000
0.0000 5.3389 0.0000
0.0000 0.0000 5.9264
K Y V Au
1 1 1 2
Cartesian
0.0000 0.0000 0.0000
0.0000 0.0000 2.9632
2.6694 2.6694 0.0000
0.0000 2.6694 2.9632
2.6694 0.0000 2.9632